[1]
This record from the Alexandria database describes crystalline LaAsCl2 at its relaxed geometry. The functional is PBE.

Results
The value obtained for the density of states at the Fermi level is 0.0087 states/eV/atom. The value obtained for the polymorph energy (0 for the lowest one) is 196 meV/atom.

Unit cell a=4.622 b=4.622 c=19.490 alpha=90.00 beta=90.00 gamma=90.00
Sites, in units of the cell vectors:
La  0.000  0.000  0.000
La  0.000  0.500  0.250
La  0.500  0.000  0.750
La  0.500  0.500  0.500
As  0.000  0.000  0.500
As  0.000  0.500  0.750
As  0.500  0.000  0.250
As  0.500  0.500  0.000
Cl  0.247  0.250  0.125
Cl  0.250  0.747  0.375
Cl  0.250  0.753  0.875
Cl  0.253  0.250  0.625
Cl  0.747  0.750  0.625
Cl  0.750  0.247  0.875
Cl  0.750  0.253  0.375
Cl  0.753  0.750  0.125

[2]
This record from the Alexandria database describes crystalline LaAsCl at its relaxed geometry. The functional is PBE.

Results
The value obtained for the density of states at the Fermi level is 0.4183 states/eV/atom. The value obtained for the polymorph energy (0 for the lowest one) is 509 meV/atom.

Unit cell a=3.754 b=3.754 c=10.773 alpha=90.00 beta=90.00 gamma=90.00
Sites, in units of the cell vectors:
La  0.000  0.000  0.000
La  0.500  0.500  0.500
As  0.000  0.000  0.322
As  0.500  0.500  0.822
Cl  0.000  0.000  0.628
Cl  0.500  0.500  0.128

[3]
This record from the Alexandria database describes crystalline LaAsCl at its relaxed geometry. The functional is PBE.

Results
The value obtained for the density of states at the Fermi level is 0.9903 states/eV/atom. The value obtained for the polymorph energy (0 for the lowest one) is 464 meV/atom.

Unit cell a=4.867 b=4.867 c=3.798 alpha=90.00 beta=90.00 gamma=120.00
Sites, in units of the cell vectors:
La  0.000  0.000  0.000
As  0.667  0.333  0.500
Cl  0.333  0.667  0.000

[4]
This record from the Alexandria database describes crystalline LaAsCl2 at its relaxed geometry. The functional is PBE.

Results
The value obtained for the density of states at the Fermi level is 0.2448 states/eV/atom. The value obtained for the polymorph energy (0 for the lowest one) is 178 meV/atom.

Unit cell a=4.660 b=4.571 c=5.301 alpha=90.00 beta=113.84 gamma=90.00
Sites, in units of the cell vectors:
La  0.000  0.000  0.000
As  0.500  0.500  0.000
Cl  0.000  0.500  0.500
Cl  0.500  0.000  0.500

[5]
This record from the Alexandria database describes crystalline LaAsCl3 at its relaxed geometry. The functional is PBE.

Results
The value obtained for the density of states at the Fermi level is 0.0000 states/eV/atom.

Unit cell a=5.618 b=5.618 c=5.618 alpha=90.00 beta=90.00 gamma=90.00
Sites, in units of the cell vectors:
La  0.000  0.000  0.000
As  0.500  0.500  0.500
Cl  0.000  0.000  0.500
Cl  0.000  0.500  0.000
Cl  0.500  0.000  0.000

[6]
This record from the Alexandria database describes crystalline LaAsCl at its relaxed geometry. The functional is PBE.

Results
The value obtained for the density of states at the Fermi level is 0.1527 states/eV/atom. The value obtained for the polymorph energy (0 for the lowest one) is 0 meV/atom.

Unit cell a=15.331 b=4.213 c=5.692 alpha=90.00 beta=111.63 gamma=90.00
Sites, in units of the cell vectors:
La  0.131  0.000  0.131
La  0.369  0.500  0.869
La  0.631  0.500  0.131
La  0.869  0.000  0.869
As  0.003  0.500  0.782
As  0.497  0.000  0.218
As  0.503  0.000  0.782
As  0.997  0.500  0.218
Cl  0.218  0.000  0.717
Cl  0.282  0.500  0.283
Cl  0.718  0.500  0.717
Cl  0.782  0.000  0.283

| no. | raw formation energy (eV per atom) |
| --- | --- |
| 1 | -1.25 |
| 2 | -1.17 |
| 3 | -1.21 |
| 4 | -1.27 |
| 5 | -1.27 |
| 6 | -1.68 |